{"formula": "NaCd8Ga4", "functional": "GGA-PBE", "state": "relaxed", "lattice_angstrom": [[-5.0719, 5.0719, 2.8472], [5.0719, -5.0719, 2.8472], [5.0719, 5.0719, -2.8472]], "species": ["Na", "Cd", "Cd", "Cd", "Cd", "Cd", "Cd", "Cd", "Cd", "Ga", "Ga", "Ga", "Ga"], "fractional_positions": [[0.0000, 0.0000, 0.0000], [0.0000, 0.3497, 0.3497], [0.0000, 0.6503, 0.6503], [0.2878, 0.5000, 0.7878], [0.3497, 0.0000, 0.3497], [0.5000, 0.2878, 0.7878], [0.5000, 0.7122, 0.2122], [0.6503, 0.0000, 0.6503], [0.7122, 0.5000, 0.2122], [0.0000, 0.0000, 0.5000], [0.0000, 0.5000, 0.0000], [0.5000, 0.0000, 0.0000], [0.5000, 0.5000, 0.5000]], "spacegroup": "I4/mmm (139)", "volume_a3_per_atom": 22.54, "formation_enthalpy_0k_ev_per_atom": 0.003, "crystal_system": "tetragonal", "dft_energy_ev_per_fu": -20.70, "dos_at_fermi_per_ev_fu": 4.204}